The following is a PBE calculation of a relaxed Nb2CrPt crystal, from Alexandria via LeMat-Bulk.

a = 3.1350 Å, b = 3.1350 Å, c = 6.5232 Å
α = 90.00°, β = 90.00°, γ = 90.00°
Sites, in units of the cell vectors:
1 Nb 0.0000 0.0000 0.2262
2 Nb 0.0000 0.0000 0.7738
3 Cr 0.5000 0.5000 0.0000
4 Pt 0.5000 0.5000 0.5000

Results
E_tot = -9.174 eV per atom
volume = 64 Å³/f.u.

***

The following is a PBE calculation of a relaxed NbCrPt3 crystal, from Alexandria via LeMat-Bulk.

a = 4.8282 Å, b = 4.8282 Å, c = 4.8282 Å
α = 90.00°, β = 90.00°, γ = 90.00°
Sites, in units of the cell vectors:
1 Nb 0.0000 0.0000 0.0000
2 Cr 0.5000 0.5000 0.5000
3 Pt 0.0000 0.0000 0.5000
4 Pt 0.0000 0.5000 0.0000
5 Pt 0.5000 0.0000 0.0000

Results
E_tot = -6.142 eV per atom
volume = 113 Å³/f.u.

***

The following is a PBE calculation of a relaxed NbCrPt crystal, from Alexandria via LeMat-Bulk.

a = 11.2572 Å, b = 11.2572 Å, c = 2.9083 Å
α = 90.00°, β = 90.00°, γ = 165.40°
Sites, in units of the cell vectors:
1 Nb 0.0546 0.9454 0.7500
2 Nb 0.9454 0.0546 0.2500
3 Cr 0.2246 0.7754 0.7500
4 Cr 0.7754 0.2246 0.2500
5 Pt 0.3560 0.6440 0.7500
6 Pt 0.6440 0.3560 0.2500

Results
E_tot = -8.676 eV per atom
volume = 46 Å³/f.u.

***

The following is a PBE calculation of a relaxed NbCrPt3 crystal, from Alexandria via LeMat-Bulk.

a = 4.5645 Å, b = 4.5645 Å, c = 4.5645 Å
α = 90.00°, β = 90.00°, γ = 90.00°
Sites, in units of the cell vectors:
1 Nb 0.0000 0.0000 0.0000
2 Cr 0.5000 0.5000 0.5000
3 Pt 0.0000 0.5000 0.5000
4 Pt 0.5000 0.0000 0.5000
5 Pt 0.5000 0.5000 0.0000

Results
E_tot = -6.695 eV per atom
volume = 95 Å³/f.u.

***

The following is a PBE calculation of a relaxed Nb2CrPt crystal, from Alexandria via LeMat-Bulk.

a = 9.9881 Å, b = 9.9881 Å, c = 9.9881 Å
α = 157.77°, β = 157.77°, γ = 31.64°
Sites, in units of the cell vectors:
1 Nb 0.1214 0.6250 0.9964
2 Nb 0.3750 0.3714 0.4964
3 Nb 0.6286 0.1250 0.0036
4 Nb 0.8750 0.8786 0.5036
5 Cr 0.0000 0.0000 0.0000
6 Cr 0.7500 0.2500 0.5000
7 Pt 0.2500 0.7500 0.5000
8 Pt 0.5000 0.5000 0.0000

Results
E_tot = -8.593 eV per atom
volume = 71 Å³/f.u.

***

The following is a PBE calculation of a relaxed NbCr2Pt2 crystal, from Alexandria via LeMat-Bulk.

a = 7.4946 Å, b = 7.4946 Å, c = 2.6594 Å
α = 90.00°, β = 90.00°, γ = 90.00°
Sites, in units of the cell vectors:
1 Nb 0.0000 0.0000 0.0000
2 Nb 0.5000 0.5000 0.0000
3 Cr 0.1708 0.3292 0.5000
4 Cr 0.3292 0.8292 0.5000
5 Cr 0.6708 0.1708 0.5000
6 Cr 0.8292 0.6708 0.5000
7 Pt 0.1276 0.6276 0.0000
8 Pt 0.3724 0.1276 0.0000
9 Pt 0.6276 0.8724 0.0000
10 Pt 0.8724 0.3724 0.0000

Results
E_tot = -8.357 eV per atom
volume = 75 Å³/f.u.

***

The following is a PBE calculation of a relaxed RbNb2CrPt crystal, from Alexandria via LeMat-Bulk.

a = 4.6701 Å, b = 4.6701 Å, c = 5.0596 Å
α = 90.00°, β = 90.00°, γ = 90.00°
Sites, in units of the cell vectors:
1 Rb 0.0000 0.0000 0.0000
2 Nb 0.0000 0.5000 0.5000
3 Nb 0.5000 0.0000 0.5000
4 Cr 0.5000 0.5000 0.5000
5 Pt 0.5000 0.5000 0.0000

Results
E_tot = -6.343 eV per atom
volume = 110 Å³/f.u.

***

The following is a PBE calculation of a relaxed ScNb2CrPt crystal, from Alexandria via LeMat-Bulk.

a = 4.7101 Å, b = 4.7101 Å, c = 4.1580 Å
α = 90.00°, β = 90.00°, γ = 90.00°
Sites, in units of the cell vectors:
1 Sc 0.0000 0.0000 0.0000
2 Nb 0.0000 0.5000 0.0000
3 Nb 0.5000 0.0000 0.0000
4 Cr 0.0000 0.0000 0.5000
5 Pt 0.5000 0.5000 0.5000

Results
E_tot = -6.850 eV per atom
volume = 92 Å³/f.u.

***

The following is a PBE calculation of a relaxed NbCrTePt2 crystal, from Alexandria via LeMat-Bulk.

a = 4.9012 Å, b = 4.9012 Å, c = 4.7602 Å
α = 90.00°, β = 90.00°, γ = 90.00°
Sites, in units of the cell vectors:
1 Nb 0.0000 0.0000 0.0000
2 Cr 0.5000 0.5000 0.0000
3 Te 0.5000 0.5000 0.5000
4 Pt 0.0000 0.5000 0.5000
5 Pt 0.5000 0.0000 0.5000

Results
volume = 114 Å³/f.u.
formation energy from raw total energies = 1.228 eV/atom

***

The following is a PBE calculation of a relaxed NbVCrPt crystal, from Alexandria via LeMat-Bulk.

a = 4.3889 Å, b = 4.3889 Å, c = 4.3889 Å
α = 60.00°, β = 60.00°, γ = 60.00°
Sites, in units of the cell vectors:
1 Nb 0.0000 0.0000 0.0000
2 V 0.7500 0.7500 0.7500
3 Cr 0.2500 0.2500 0.2500
4 Pt 0.5000 0.5000 0.5000

Results
E_tot = -8.889 eV per atom
volume = 60 Å³/f.u.

***

The following is a PBE calculation of a relaxed PuNb2Cr crystal, from Alexandria via LeMat-Bulk.

a = 3.1098 Å, b = 3.1098 Å, c = 7.4588 Å
α = 90.00°, β = 90.00°, γ = 90.00°
Sites, in units of the cell vectors:
1 Pu 0.0000 0.0000 0.0000
2 Nb 0.5000 0.5000 0.2954
3 Nb 0.5000 0.5000 0.7046
4 Cr 0.0000 0.0000 0.5000

Results
E_tot = -10.814 eV per atom
volume = 72 Å³/f.u.

***

The following is a PBE calculation of a relaxed Rb3NbCr crystal, from Alexandria via LeMat-Bulk.

a = 6.9490 Å, b = 6.9490 Å, c = 6.9490 Å
α = 90.00°, β = 90.00°, γ = 90.00°
Sites, in units of the cell vectors:
1 Rb 0.0000 0.0000 0.5000
2 Rb 0.0000 0.5000 0.0000
3 Rb 0.5000 0.0000 0.0000
4 Nb 0.0000 0.0000 0.0000
5 Cr 0.5000 0.5000 0.5000

Results
E_tot = -2.890 eV per atom
volume = 336 Å³/f.u.

***

Size of the total moment for every record listed, in sequence, given in Bohr magnetons per cell: 0.000 0.681 0.000 2.142 5.586 0.000 0.001 0.000 4.066 2.002 5.210 0.069.